An optimized crystal structure of Sc2Bi2Au, computed with PBE.

a b c (Å): 6.273 6.273 6.273
angles (deg): 130.09 130.09 73.26
Atoms (fractional coordinates):
Sc (0.250, 0.750, 0.500)
Sc (0.750, 0.250, 0.500)
Bi (0.648, 0.648, 0.000)
Bi (0.352, 0.352, 0.000)
Au (0.000, 0.000, 0.000)

Values from the calculation:
As for the space group: I4/mmm. As for the energy above the lowest structure with this stoichiometry: 0.000 eV/atom.



An optimized crystal structure of Si2BiAu, computed with PBE.

a b c (Å): 4.893 4.893 4.893
angles (deg): 60.00 60.00 60.00
Atoms (fractional coordinates):
Si (0.000, 0.000, 0.000)
Si (0.750, 0.750, 0.750)
Au (0.250, 0.250, 0.250)
Bi (0.500, 0.500, 0.500)

Values from the calculation:
As for the space group: F-43m.



An optimized crystal structure of SrBi4Au2, computed with PBE.

a b c (Å): 13.038 13.038 5.922
angles (deg): 100.25 100.25 146.97
Atoms (fractional coordinates):
Au (0.119, 0.881, 0.500)
Au (0.369, 0.631, 0.000)
Au (0.381, 0.619, 0.500)
Au (0.631, 0.369, 0.000)
Bi (0.287, 0.166, 0.328)
Bi (0.463, 0.084, 0.172)
Bi (0.834, 0.713, 0.672)
Bi (0.912, 0.291, 0.828)
Bi (0.041, 0.162, 0.328)
Bi (0.709, 0.088, 0.172)
Bi (0.916, 0.537, 0.828)
Bi (0.838, 0.959, 0.672)
Sr (0.500, 0.500, 0.000)
Sr (0.250, 0.750, 0.500)

Values from the calculation:
As for the space group: Fddd.



| no. | final energy (eV/cell) |
| --- | --- |
| 1 | -24.545 |
| 2 | -15.960 |
| 3 | -50.984 |